1.
CsCoCuS2 | PBE-GGA | relaxed

Results
The formation energy without anion corrections comes out at -52.0 kJ per mole of atoms. As for the relative energy among the computed polymorphs: 0.000 eV/atom.

Geometry as CIF:
```
data_CsCoCuS2
_symmetry_space_group_name_H-M 'I -4 m 2'
_symmetry_Int_Tables_number 119
_symmetry_space_group_name_Hall 'I -4 -2'
_cell_length_a 3.933
_cell_length_b 3.933
_cell_length_c 14.142
_cell_angle_alpha 90.00
_cell_angle_beta 90.00
_cell_angle_gamma 90.00
loop_
_atom_site_label
_atom_site_type_symbol
_atom_site_fract_x
_atom_site_fract_y
_atom_site_fract_z
Cs1 Cs 0.000 0.000 0.000
Co1 Co 0.000 0.500 0.250
Cu1 Cu 0.000 0.500 0.750
S1 S 0.000 0.000 0.340
```

***

2.
CsCoCuS2 | PBE-GGA | relaxed

Results
The formation energy without anion corrections comes out at -50.3 kJ per mole of atoms. As for the relative energy among the computed polymorphs: 0.018 eV/atom.

Geometry as CIF:
```
data_CsCoCuS2
_symmetry_space_group_name_H-M 'C m m e'
_symmetry_Int_Tables_number 67
_symmetry_space_group_name_Hall '-C 2a 2'
_cell_length_a 5.347
_cell_length_b 13.630
_cell_length_c 6.407
_cell_angle_alpha 90.00
_cell_angle_beta 90.00
_cell_angle_gamma 90.00
loop_
_atom_site_label
_atom_site_type_symbol
_atom_site_fract_x
_atom_site_fract_y
_atom_site_fract_z
Cs1 Cs 0.000 0.250 0.246
Co1 Co 0.250 0.000 0.000
Cu1 Cu 0.000 0.000 0.500
S1 S 0.000 0.084 0.791
```

***

3.
Cs2CoCuS4 | PBE-GGA | relaxed

Results
The formation energy without anion corrections comes out at -59.8 kJ per mole of atoms.

Geometry as CIF:
```
data_Cs2CoCuS4
_symmetry_space_group_name_H-M 'F d d d'
_symmetry_Int_Tables_number 70
_cell_length_a 5.684
_cell_length_b 13.658
_cell_length_c 24.390
_cell_angle_alpha 90.00
_cell_angle_beta 90.00
_cell_angle_gamma 90.00
loop_
_symmetry_equiv_pos_as_xyz
'x,y,z'
'-x,-y,-z'
'-x+1/4,-y+1/4,z'
'x+1/4,y+1/4,-z'
'x,-y+1/4,-z+1/4'
'-x,y+1/4,z+1/4'
'-x+1/4,y,-z+1/4'
'x+1/4,-y,z+1/4'
'x,y+1/2,z+1/2'
'-x,-y+1/2,-z+1/2'
'-x+1/4,-y+3/4,z+1/2'
'x+1/4,y+3/4,-z+1/2'
'x,-y+3/4,-z+3/4'
'-x,y+3/4,z+3/4'
'-x+1/4,y+1/2,-z+3/4'
'x+1/4,-y+1/2,z+3/4'
'x+1/2,y,z+1/2'
'-x+1/2,-y,-z+1/2'
'-x+3/4,-y+1/4,z+1/2'
'x+3/4,y+1/4,-z+1/2'
'x+1/2,-y+1/4,-z+3/4'
'-x+1/2,y+1/4,z+3/4'
'-x+3/4,y,-z+3/4'
'x+3/4,-y,z+3/4'
'x+1/2,y+1/2,z'
'-x+1/2,-y+1/2,-z'
'-x+3/4,-y+3/4,z'
'x+3/4,y+3/4,-z'
'x+1/2,-y+3/4,-z+1/4'
'-x+1/2,y+3/4,z+1/4'
'-x+3/4,y+1/2,-z+1/4'
'x+3/4,-y+1/2,z+1/4'
loop_
_atom_site_label
_atom_site_type_symbol
_atom_site_fract_x
_atom_site_fract_y
_atom_site_fract_z
Cs1 Cs 0.125 0.125 0.303
Co1 Co 0.125 0.125 0.625
Cu1 Cu 0.125 0.125 0.125
S1 S 0.104 0.289 0.826
```